A geometry-optimized LaPrHg2 structure, computed with PBE.

Results
- total magnetic moment (Bohr magnetons per cell) = 0.00
- D(E_F) (states/eV/cell) = 3.6
- offset from the most stable computed form (meV/atom) = 156.7
- space group = R3m
- formation energy from the elements (eV/f.u.) = -1.331

```
LaPrHg2
1.0
-0.9185 -1.6189 3.5195
-3.3495 -2.1136 0.4056
3.1937 -9.0203 -1.0601
Hg La Pr
2 1 1
Cartesian
2.0259 -7.0554 -0.4606
-0.2562 -3.2078 0.7097
-2.8434 -2.4899 2.6154
-0.5378 -6.3760 1.4329
```

A geometry-optimized SbRuSe2Br structure, computed with PBE.

Results
- total magnetic moment (Bohr magnetons per cell) = 0.00
- E_form (uncorrected) (eV/atom) = 0.318
- D(E_F) (states/eV/cell) = 4.0
- offset from the most stable computed form (meV/atom) = 0.0
- space group = P4/mmm

```
SbRuSe2Br
1.0
4.8807 0.0000 0.0000
0.0000 4.8807 0.0000
0.0000 0.0000 5.0154
Br Ru Sb Se
1 1 1 2
Cartesian
0.0000 0.0000 2.5077
0.0000 0.0000 0.0000
2.4404 2.4404 2.5077
2.4404 0.0000 0.0000
0.0000 2.4404 0.0000
```

A geometry-optimized PuTiSb structure, computed with PBE.

Results
- total magnetic moment (Bohr magnetons per cell) = 11.21
- E_form (uncorrected) (eV/atom) = -0.447
- D(E_F) (states/eV/cell) = 22.4
- space group = P4/nmm

```
PuTiSb
1.0
4.2342 0.0000 0.0000
0.0000 4.2342 0.0000
0.0000 0.0000 8.0266
Sb Ti Pu
2 2 2
Cartesian
0.0000 2.1171 2.0982
2.1171 0.0000 5.9283
0.0000 0.0000 4.0133
2.1171 2.1171 4.0133
0.0000 2.1171 6.8585
2.1171 0.0000 1.1681
```

A geometry-optimized AcMgIn6 structure, computed with PBE.

Results
- total magnetic moment (Bohr magnetons per cell) = 0.00
- D(E_F) (states/eV/cell) = 3.3
- space group = Cmmm
- formation energy from the elements (eV/f.u.) = -1.441

```
AcMgIn6
1.0
4.4345 0.0000 0.0000
0.0000 7.0665 0.1510
0.0000 0.2408 7.0640
In Mg Ac
6 1 1
Cartesian
2.2172 3.5333 0.0755
0.0000 2.1345 5.1461
0.0000 1.9482 1.9236
0.0000 5.1728 2.0689
2.2172 0.1204 3.5320
0.0000 5.3591 5.2914
2.2172 3.6537 3.6075
2.2172 0.0000 0.0000
```

| no. | ρ (g/cm3) |
| --- | --- |
| 1 | 8.8 |
| 2 | 6.4 |
| 3 | 9.5 |
| 4 | 7.1 |